<one>
Material: LiTiSCl2
Method: DFT, PBE
State: relaxed

Cell: 4.919 4.919 4.724 Å, 90.00 90.00 90.00°
Last column: magnetic moment on the atom in μB.
Atoms (fractional coordinates):
Ti 0.000 0.000 0.000  0.84
Cl 0.500 0.000 0.000  0.00
Li 0.500 0.500 0.500  0.00
Cl 0.000 0.500 0.000  0.00
S 0.000 0.000 0.500  -0.04

Calculated values
DOS at the Fermi energy ... 0.589 states/eV/atom
Calculated density ... 2.3 g/cm3
SG ... No. 123
Total magnetic moment ... 0.188 μB/atom

=====

<two>
Material: LiTiSCl2
Method: DFT, PBE
State: relaxed

Cell: 4.345 4.345 4.932 Å, 90.00 90.00 90.00°
Last column: magnetic moment on the atom in μB.
Atoms (fractional coordinates):
Ti 0.500 0.500 0.500  1.38
Cl 0.000 0.500 0.000  -0.09
Cl 0.500 0.000 0.000  -0.09
S 0.000 0.000 0.500  -0.25
Li 0.000 0.000 0.000  0.00

Calculated values
DOS at the Fermi energy ... 0.846 states/eV/atom
Calculated density ... 2.8 g/cm3
SG ... No. 123
Total magnetic moment ... 0.199 μB/atom

=====

The least stable of them is <two>.

=====

<one>
Material: LiTiS2Cl
Method: DFT, PBE
State: relaxed

Cell: 4.700 4.700 4.938 Å, 90.00 90.00 90.00°
Atoms (fractional coordinates):
Ti 0.000 0.000 0.000
Cl 0.000 0.000 0.500
S 0.500 0.000 0.000
Li 0.500 0.500 0.500
S 0.000 0.500 0.000

Calculated values
DOS at the Fermi energy ... 0.400 states/eV/atom
Calculated density ... 2.4 g/cm3
SG ... No. 123
Total magnetic moment ... 0.000 μB/atom

=====

<two>
Material: LiTiS2Cl
Method: DFT, PBE
State: relaxed

Cell: 4.470 4.470 4.335 Å, 90.00 90.00 90.00°
Atoms (fractional coordinates):
Li 0.000 0.000 0.000
S 0.000 0.500 0.000
Cl 0.000 0.000 0.500
S 0.500 0.000 0.000
Ti 0.500 0.500 0.500

Calculated values
DOS at the Fermi energy ... 0.982 states/eV/atom
Calculated density ... 3.0 g/cm3
SG ... No. 123
Total magnetic moment ... 0.014 μB/atom

=====

The least stable of them is <two>.

=====

<one>
Material: LiVSCl2
Method: DFT, PBE
State: relaxed

Cell: 4.398 4.398 4.883 Å, 90.00 90.00 90.00°
Last column: magnetic moment on the atom in μB.
Atoms (fractional coordinates):
Cl 0.000 0.500 0.000  -0.15
Cl 0.500 0.000 0.000  -0.15
Li 0.000 0.000 0.000  0.00
S 0.000 0.000 0.500  -0.47
V 0.500 0.500 0.500  2.71

Calculated values
DOS at the Fermi energy ... 1.083 states/eV/atom
Calculated density ... 2.8 g/cm3
SG ... No. 123
Total magnetic moment ... 0.399 μB/atom

=====

<two>
Material: LiVSCl2
Method: DFT, PBE
State: relaxed

Cell: 4.944 4.944 4.546 Å, 90.00 90.00 90.00°
Last column: magnetic moment on the atom in μB.
Atoms (fractional coordinates):
Li 0.500 0.500 0.500  0.00
Cl 0.500 0.000 0.000  0.01
Cl 0.000 0.500 0.000  0.01
S 0.000 0.000 0.500  -0.13
V 0.000 0.000 0.000  1.91

Calculated values
DOS at the Fermi energy ... 0.266 states/eV/atom
Calculated density ... 2.4 g/cm3
SG ... No. 123
Total magnetic moment ... 0.400 μB/atom

=====

The least stable of them is <one>.

=====

<one>
Material: LiWSCl2
Method: DFT, PBE
State: relaxed

Cell: 4.988 4.988 4.615 Å, 90.00 90.00 90.00°
Last column: magnetic moment on the atom in μB.
Atoms (fractional coordinates):
Li 0.500 0.500 0.500  0.00
S 0.000 0.000 0.500  -0.04
W 0.000 0.000 0.000  1.02
Cl 0.000 0.500 0.000  0.04
Cl 0.500 0.000 0.000  0.04

Calculated values
DOS at the Fermi energy ... 0.585 states/eV/atom
Calculated density ... 4.2 g/cm3
SG ... No. 123
Total magnetic moment ... 0.264 μB/atom

=====

<two>
Material: LiWSCl2
Method: DFT, PBE
State: relaxed

Cell: 4.292 4.292 4.928 Å, 90.00 90.00 90.00°
Last column: magnetic moment on the atom in μB.
Atoms (fractional coordinates):
Cl 0.000 0.500 0.000  -0.06
Cl 0.500 0.000 0.000  -0.06
W 0.500 0.500 0.500  2.70
S 0.000 0.000 0.500  -0.20
Li 0.000 0.000 0.000  0.00

Calculated values
DOS at the Fermi energy ... 0.956 states/eV/atom
Calculated density ... 5.4 g/cm3
SG ... No. 123
Total magnetic moment ... 0.600 μB/atom

=====

The least stable of them is <two>.

=====

<one>
Material: LiZnSCl2
Method: DFT, PBE
State: relaxed

Cell: 5.043 5.043 4.642 Å, 90.00 90.00 90.00°
Last column: magnetic moment on the atom in μB.
Atoms (fractional coordinates):
S 0.000 0.000 0.500  0.47
Cl 0.000 0.500 0.000  0.09
Li 0.500 0.500 0.500  0.00
Zn 0.000 0.000 0.000  0.00
Cl 0.500 0.000 0.000  0.09

Calculated values
DOS at the Fermi energy ... 0.707 states/eV/atom
Calculated density ... 2.5 g/cm3
SG ... No. 123
Total magnetic moment ... 0.199 μB/atom

=====

<two>
Material: LiZnSCl2
Method: DFT, PBE
State: relaxed

Cell: 4.330 4.330 5.642 Å, 90.00 90.00 90.00°
Last column: magnetic moment on the atom in μB.
Atoms (fractional coordinates):
Cl 0.000 0.500 0.000  0.09
Cl 0.500 0.000 0.000  0.09
Li 0.000 0.000 0.000  0.00
S 0.000 0.000 0.500  0.34
Zn 0.500 0.500 0.500  -0.01

Calculated values
DOS at the Fermi energy ... 0.540 states/eV/atom
Calculated density ... 2.8 g/cm3
SG ... No. 123
Total magnetic moment ... 0.152 μB/atom

=====

The least stable of them is <two>.

=====

<one>
Material: LiZnS2Cl
Method: DFT, PBE
State: relaxed

Cell: 4.445 4.445 4.780 Å, 90.00 90.00 90.00°
Atoms (fractional coordinates):
Zn 0.500 0.500 0.500
S 0.500 0.000 0.000
Li 0.000 0.000 0.000
S 0.000 0.500 0.000
Cl 0.000 0.000 0.500

Calculated values
DOS at the Fermi energy ... 1.096 states/eV/atom
Calculated density ... 3.0 g/cm3
SG ... No. 123
Total magnetic moment ... 0.000 μB/atom

=====

<two>
Material: LiZnS2Cl
Method: DFT, PBE
State: relaxed

Cell: 4.563 4.563 5.524 Å, 90.00 90.00 90.00°
Last column: magnetic moment on the atom in μB.
Atoms (fractional coordinates):
S 0.500 0.000 0.000  0.13
S 0.000 0.500 0.000  0.13
Li 0.500 0.500 0.500  0.00
Cl 0.000 0.000 0.500  0.05
Zn 0.000 0.000 0.000  0.00

Calculated values
DOS at the Fermi energy ... 1.122 states/eV/atom
Calculated density ... 2.5 g/cm3
SG ... No. 123
Total magnetic moment ... 0.094 μB/atom

=====

The least stable of them is <one>.